[1]
Computed, not measured: crystalline ZrTi2Zn2 at its relaxed geometry at the PBE level of DFT.

Unit cell a=7.4879 b=7.4879 c=3.0988 alpha=90.00 beta=90.00 gamma=90.00
Last column: nearest neighbours and their distance in Å.
Fractional coordinates of all 10 atoms:
Zr (0.0000, 0.0000, 0.0000)  4 Zn 2.98, 2 Zr 3.10, 8 Ti 3.16
Zr (0.5000, 0.5000, 0.0000)  4 Zn 2.98, 2 Zr 3.10, 8 Ti 3.16
Ti (0.1771, 0.3229, 0.5000)  6 Zn 2.64-2.75
Ti (0.3229, 0.8229, 0.5000)  6 Zn 2.64-2.75
Ti (0.6771, 0.1771, 0.5000)  6 Zn 2.64-2.75
Ti (0.8229, 0.6771, 0.5000)  6 Zn 2.64-2.75
Zn (0.1208, 0.6208, 0.0000)  1 Zn 2.56, 6 Ti 2.64-2.75
Zn (0.3792, 0.1208, 0.0000)  1 Zn 2.56, 6 Ti 2.64-2.75
Zn (0.6208, 0.8792, 0.0000)  1 Zn 2.56, 6 Ti 2.64-2.75
Zn (0.8792, 0.3792, 0.0000)  1 Zn 2.56, 6 Ti 2.64-2.75

Calculated values
relative energy among the computed polymorphs: 0 meV per atom
total magnetization: 0.0 μB/f.u.
raw total energy: -5.471 eV/atom
energy of formation: -0.47 eV/f.u.
calculated volume: 86.87 Å³/f.u.

---

[2]
Computed, not measured: crystalline Li3TmAu2 at its relaxed geometry at the PBE level of DFT.

Unit cell a=7.4920 b=7.4920 c=9.1231 alpha=122.86 beta=122.86 gamma=30.96
Last column: nearest neighbours and their distance in Å.
Fractional coordinates of all 12 atoms:
Li (0.0714, 0.0714, 0.4190)  3 Au 2.65-2.79, 5 Li 2.65-2.84
Li (0.2657, 0.2657, 0.4133)  6 Li 2.74-2.95, 5 Au 2.76-3.05
Li (0.4264, 0.4264, 0.3113)  3 Au 2.59-2.77, 3 Li 2.65-2.85
Li (0.5736, 0.5736, 0.6887)  3 Au 2.59-2.77, 3 Li 2.65-2.85
Li (0.7343, 0.7343, 0.5867)  6 Li 2.74-2.95, 5 Au 2.76-3.05
Li (0.9286, 0.9286, 0.5810)  3 Au 2.65-2.79, 5 Li 2.65-2.84
Tm (0.1209, 0.1209, 0.9965)  7 Au 2.95-3.11, 4 Li 3.14-3.20
Tm (0.8791, 0.8791, 0.0035)  7 Au 2.95-3.11, 4 Li 3.14-3.20
Au (0.2081, 0.2081, 0.7694)  5 Li 2.59-2.76
Au (0.4252, 0.4252, 0.7905)  6 Li 2.77-3.05, 1 Au 3.03, 2 Tm 3.09
Au (0.5748, 0.5748, 0.2095)  6 Li 2.77-3.05, 1 Au 3.03, 2 Tm 3.09
Au (0.7919, 0.7919, 0.2306)  5 Li 2.59-2.76

Calculated values
total magnetization: 0.0 μB/f.u.
raw total energy: -3.329 eV/atom
energy of formation: -3.20 eV/f.u.
calculated volume: 108.86 Å³/f.u.

---

[3]
Computed, not measured: crystalline InFe2W at its relaxed geometry at the PBE level of DFT.

Unit cell a=2.7371 b=4.0950 c=5.4973 alpha=90.00 beta=100.70 gamma=90.00
Last column: nearest neighbours and their distance in Å.
Fractional coordinates of all 4 atoms:
In (0.0000, 0.0000, 0.0000)  6 Fe 2.70-2.89, 2 In 2.74, 4 W 2.96-2.98
Fe (0.0665, 0.0000, 0.5163)  4 Fe 2.52-2.74, 2 W 2.56, 2 In 2.70-2.81
Fe (0.4519, 0.5000, 0.7429)  1 W 2.50, 4 Fe 2.52-2.74, 2 In 2.77
W (0.6070, 0.5000, 0.3088)  3 Fe 2.50-2.56, 2 W 2.74

Calculated values
total magnetization: 4.3 μB/f.u.
raw total energy: -7.798 eV/atom
energy of formation: 1.43 eV/f.u.
calculated volume: 60.54 Å³/f.u.

---

[4]
Computed, not measured: crystalline ThSi2TcRu at its relaxed geometry at the PBE level of DFT.

Unit cell a=4.2705 b=4.2705 c=9.6816 alpha=90.00 beta=90.00 gamma=90.00
Last column: nearest neighbours and their distance in Å.
Fractional coordinates of all 10 atoms:
Th (0.0000, 0.0000, 0.0000)  4 Tc 3.23, 4 Ru 3.23, 10 Si 3.28-3.55
Th (0.5000, 0.5000, 0.5000)  4 Tc 3.23, 4 Ru 3.23, 10 Si 3.28-3.55
Si (0.0000, 0.0000, 0.3668)  2 Tc 2.42, 2 Ru 2.42, 1 Si 2.58
Si (0.0000, 0.0000, 0.6332)  2 Tc 2.42, 2 Ru 2.42, 1 Si 2.58
Si (0.5000, 0.5000, 0.1332)  2 Tc 2.42, 2 Ru 2.42, 1 Si 2.58
Si (0.5000, 0.5000, 0.8668)  2 Tc 2.42, 2 Ru 2.42, 1 Si 2.58
Tc (0.0000, 0.5000, 0.2500)  4 Si 2.42
Tc (0.5000, 0.0000, 0.7500)  4 Si 2.42
Ru (0.0000, 0.5000, 0.7500)  4 Si 2.42
Ru (0.5000, 0.0000, 0.2500)  4 Si 2.42

Calculated values
total magnetization: 0.0 μB/f.u.
raw total energy: -8.396 eV/atom
calculated volume: 88.28 Å³/f.u.
energy relative to the elements, uncorrected: -0.815 eV per atom

---

[5]
Computed, not measured: crystalline NdEuHf4O12 at its relaxed geometry at the PBE level of DFT.

Unit cell a=8.2005 b=5.7007 c=5.7007 alpha=89.81 beta=90.00 gamma=90.00
Last column: nearest neighbours and their distance in Å.
Fractional coordinates of all 18 atoms:
Nd (0.0000, 0.0000, 0.0000)  4 O 2.30-2.38
Eu (0.5000, 0.5551, 0.5551)  6 O 2.42-2.62
Hf (0.2508, 0.0512, 0.5252)  6 O 2.04-2.14
Hf (0.2508, 0.5252, 0.0512)  6 O 2.04-2.14
Hf (0.7492, 0.0512, 0.5252)  6 O 2.04-2.14
Hf (0.7492, 0.5252, 0.0512)  6 O 2.04-2.14
O (0.0000, 0.0424, 0.5992)  2 Hf 2.10, 1 Nd 2.30
O (0.0000, 0.5992, 0.0424)  2 Hf 2.10, 1 Nd 2.30
O (0.1950, 0.2185, 0.2185)  2 Hf 2.04
O (0.2653, 0.8250, 0.8250)  2 Hf 2.14
O (0.2759, 0.3466, 0.7368)  2 Hf 2.07-2.09
O (0.2759, 0.7368, 0.3466)  2 Hf 2.07-2.09
O (0.5000, 0.0994, 0.5015)  2 Hf 2.07
O (0.5000, 0.5015, 0.0994)  2 Hf 2.07
O (0.7241, 0.3466, 0.7368)  2 Hf 2.07-2.09
O (0.7241, 0.7368, 0.3466)  2 Hf 2.07-2.09
O (0.7347, 0.8250, 0.8250)  2 Hf 2.14
O (0.8050, 0.2185, 0.2185)  2 Hf 2.04

Calculated values
total magnetization: 8.0 μB/f.u.
raw total energy: -9.385 eV/atom
calculated volume: 266.49 Å³/f.u.
energy relative to the elements, uncorrected: -3.032 eV per atom

---

[6]
Computed, not measured: crystalline Dy6HoNi3 at its relaxed geometry at the PBE level of DFT.

Unit cell a=8.4951 b=8.4951 c=7.0249 alpha=90.00 beta=90.00 gamma=99.58
Last column: nearest neighbours and their distance in Å.
Fractional coordinates of all 20 atoms:
Dy (0.0331, 0.9669, 0.5000)  4 Ni 3.11-3.15
Dy (0.0343, 0.4191, 0.6586)  2 Ni 2.83-2.92
Dy (0.2262, 0.7738, 0.8491)  3 Ni 2.64-2.67
Dy (0.2963, 0.3700, 0.0107)  4 Ni 2.66-2.84
Dy (0.3700, 0.2963, 0.5107)  4 Ni 2.66-2.84
Dy (0.4191, 0.0343, 0.1586)  2 Ni 2.83-2.92
Dy (0.5809, 0.9657, 0.6586)  2 Ni 2.83-2.92
Dy (0.6300, 0.7037, 0.0107)  4 Ni 2.66-2.84
Dy (0.7037, 0.6300, 0.5107)  4 Ni 2.66-2.84
Dy (0.7738, 0.2262, 0.3491)  3 Ni 2.64-2.67
Dy (0.9657, 0.5809, 0.1586)  2 Ni 2.83-2.92
Dy (0.9669, 0.0331, 0.0000)  4 Ni 3.11-3.15
Ho (0.3213, 0.6787, 0.3867)  1 Ni 2.64
Ho (0.6787, 0.3213, 0.8867)  1 Ni 2.64
Ni (0.0884, 0.3001, 0.2930)  5 Dy 2.66-2.92
Ni (0.3001, 0.0884, 0.7930)  5 Dy 2.66-2.92
Ni (0.4172, 0.5828, 0.7183)  1 Ho 2.64, 5 Dy 2.64-2.81
Ni (0.5828, 0.4172, 0.2183)  1 Ho 2.64, 5 Dy 2.64-2.81
Ni (0.6999, 0.9116, 0.2930)  5 Dy 2.66-2.92
Ni (0.9116, 0.6999, 0.7930)  5 Dy 2.66-2.92

Calculated values
total magnetization: 0.0 μB/f.u.
raw total energy: -5.186 eV/atom
energy of formation: -2.32 eV/f.u.
calculated volume: 249.95 Å³/f.u.

---

[7]
Computed, not measured: crystalline Be2Al2ZnNi5 at its relaxed geometry at the PBE level of DFT.

Unit cell a=8.3360 b=8.3360 c=3.2025 alpha=90.00 beta=90.00 gamma=90.00
Last column: nearest neighbours and their distance in Å.
Fractional coordinates of all 20 atoms:
Be (0.1224, 0.3776, 0.0000)  6 Ni 2.16-2.17, 1 Al 2.41
Be (0.3776, 0.8776, 0.0000)  6 Ni 2.16-2.17, 1 Al 2.41
Be (0.6224, 0.1224, 0.0000)  6 Ni 2.16-2.17, 1 Al 2.41
Be (0.8776, 0.6224, 0.0000)  6 Ni 2.16-2.17, 1 Al 2.41
Al (0.1736, 0.6736, 0.0000)  3 Be 2.41-2.50, 6 Ni 2.60-2.65
Al (0.3264, 0.1736, 0.0000)  3 Be 2.41-2.50, 6 Ni 2.60-2.65
Al (0.6736, 0.8264, 0.0000)  3 Be 2.41-2.50, 6 Ni 2.60-2.65
Al (0.8264, 0.3264, 0.0000)  3 Be 2.41-2.50, 6 Ni 2.60-2.65
Zn (0.0000, 0.0000, 0.0000)  8 Ni 2.45
Zn (0.5000, 0.5000, 0.0000)  8 Ni 2.45
Ni (0.0000, 0.5000, 0.5000)  4 Be 2.16
Ni (0.0756, 0.2087, 0.5000)  2 Be 2.17
Ni (0.2087, 0.9244, 0.5000)  2 Be 2.17
Ni (0.2913, 0.4244, 0.5000)  2 Be 2.17
Ni (0.4244, 0.7087, 0.5000)  2 Be 2.17
Ni (0.5000, 0.0000, 0.5000)  4 Be 2.16
Ni (0.5756, 0.2913, 0.5000)  2 Be 2.17
Ni (0.7087, 0.5756, 0.5000)  2 Be 2.17
Ni (0.7913, 0.0756, 0.5000)  2 Be 2.17
Ni (0.9244, 0.7913, 0.5000)  2 Be 2.17

Calculated values
total magnetization: 0.0 μB/f.u.
raw total energy: -4.899 eV/atom
energy of formation: -3.88 eV/f.u.
calculated volume: 111.27 Å³/f.u.

---

[8]
Computed, not measured: crystalline Ce2Ga5Au at its relaxed geometry at the PBE level of DFT.

Unit cell a=6.1281 b=6.1281 c=8.9630 alpha=90.00 beta=90.00 gamma=90.00
Last column: nearest neighbours and their distance in Å.
Fractional coordinates of all 16 atoms:
Ce (0.0000, 0.5000, 0.0000)  10 Ga 3.07-3.14, 2 Au 3.20
Ce (0.0000, 0.5000, 0.5000)  10 Ga 3.07-3.14, 2 Au 3.20
Ce (0.5000, 0.0000, 0.0000)  10 Ga 3.07-3.14, 2 Au 3.20
Ce (0.5000, 0.0000, 0.5000)  10 Ga 3.07-3.14, 2 Au 3.20
Ga (0.0000, 0.0000, 0.0106)  8 Ga 3.06-3.19, 4 Ce 3.07
Ga (0.2263, 0.2263, 0.7480)  1 Au 2.72, 2 Ga 2.77
Ga (0.2263, 0.7737, 0.7480)  1 Au 2.72, 2 Ga 2.77
Ga (0.2737, 0.2737, 0.2480)  1 Au 2.72, 2 Ga 2.77
Ga (0.2737, 0.7263, 0.2480)  1 Au 2.72, 2 Ga 2.77
Ga (0.5000, 0.5000, 0.5106)  8 Ga 3.06-3.19, 4 Ce 3.07
Ga (0.7263, 0.2737, 0.2480)  1 Au 2.72, 2 Ga 2.77
Ga (0.7263, 0.7263, 0.2480)  1 Au 2.72, 2 Ga 2.77
Ga (0.7737, 0.2263, 0.7480)  1 Au 2.72, 2 Ga 2.77
Ga (0.7737, 0.7737, 0.7480)  1 Au 2.72, 2 Ga 2.77
Au (0.0000, 0.0000, 0.3966)  4 Ga 2.72
Au (0.5000, 0.5000, 0.8966)  4 Ga 2.72

Calculated values
total magnetization: 1.1 μB/f.u.
raw total energy: -4.265 eV/atom
energy of formation: -3.84 eV/f.u.
calculated volume: 168.30 Å³/f.u.

---

Look up the raw total energy of the sixth one. -5.186 eV/atom

---

Number 7 is which compound? Be2Al2ZnNi5

---

What is the formula in the fifth record? NdEuHf4O12